Compound: Ac2MgCdTe5
Source: the Alexandria database
Functional: PBE-GGA
Structure: relaxed

Structure (CIF):
```
data_Ac2MgCdTe5
_symmetry_space_group_name_H-M 'C m c 21'
_symmetry_Int_Tables_number 36
_symmetry_space_group_name_Hall 'C 2c -2'
_cell_length_a 4.564
_cell_length_b 19.500
_cell_length_c 13.502
_cell_angle_alpha 90.00
_cell_angle_beta 90.00
_cell_angle_gamma 90.00
loop_
_atom_site_label
_atom_site_type_symbol
_atom_site_fract_x
_atom_site_fract_y
_atom_site_fract_z
Ac1 Ac 0.000 0.115 0.000
Ac2 Ac 0.000 0.133 0.616
Mg1 Mg 0.000 0.204 0.326
Cd1 Cd 0.000 0.441 0.770
Te1 Te 0.000 0.049 0.385
Te2 Te 0.000 0.287 0.971
Te3 Te 0.000 0.308 0.664
Te4 Te 0.000 0.353 0.311
Te5 Te 0.000 0.496 0.085
```

Summary:
* VASP energy: -147.28 eV per cell